Below is a relaxed BaTlPd2Pb2 crystal, with properties calculated at the PBE-GGA level.

Cell: 5.165 5.165 6.706 Å, 90.00 90.00 90.00°
Fractional coordinates of all 6 atoms:
Ba 0.000 0.000 0.500
Tl 0.000 0.000 0.000
Pd 0.500 0.000 0.000
Pd 0.000 0.500 0.000
Pb 0.500 0.500 0.756
Pb 0.500 0.500 0.244

Output
SG: P4/mmm (123)
DFT formation energy (meV/atom): -220
Electronic total energy (eV per atom): -3.9024